Record 1
This record from Alexandria via LeMat-Bulk describes an optimized crystal structure of Rb2Sr2Mg. The functional is PBE.

Computed properties:
As for the magnetization: 0.00 μB per formula unit. The value obtained for the calculated density is 1.9 g cm⁻³. The total DFT energy (no corrections) is -1.148 eV/atom.

Unit cell a=9.258 b=9.258 c=7.438 alpha=90.00 beta=90.00 gamma=90.00
Atoms (fractional coordinates):
1 Rb 0.173 0.327 0.000
2 Rb 0.327 0.827 0.000
3 Rb 0.673 0.173 0.000
4 Rb 0.827 0.673 0.000
5 Sr 0.159 0.659 0.500
6 Sr 0.341 0.159 0.500
7 Sr 0.659 0.841 0.500
8 Sr 0.841 0.341 0.500
9 Mg 0.000 0.000 0.500
10 Mg 0.500 0.500 0.500

=====

Record 2
This record from Alexandria via LeMat-Bulk describes an optimized crystal structure of Rb3SrMg. The functional is PBE.

Computed properties:
As for the magnetization: 0.00 μB per formula unit. The value obtained for the calculated density is 1.1 g cm⁻³. The total DFT energy (no corrections) is -0.634 eV/atom.

Unit cell a=8.348 b=8.348 c=8.348 alpha=90.00 beta=90.00 gamma=90.00
Atoms (fractional coordinates):
1 Rb 0.000 0.000 0.500
2 Rb 0.000 0.500 0.000
3 Rb 0.500 0.000 0.000
4 Sr 0.000 0.000 0.000
5 Mg 0.500 0.500 0.500

=====

Record 3
This record from Alexandria via LeMat-Bulk describes an optimized crystal structure of RbSrMg3. The functional is PBE.

Computed properties:
As for the magnetization: 0.00 μB per formula unit. The value obtained for the calculated density is 1.7 g cm⁻³. The total DFT energy (no corrections) is -0.738 eV/atom.

Unit cell a=6.195 b=6.195 c=6.195 alpha=90.00 beta=90.00 gamma=90.00
Atoms (fractional coordinates):
1 Rb 0.000 0.000 0.000
2 Sr 0.500 0.500 0.500
3 Mg 0.000 0.000 0.500
4 Mg 0.000 0.500 0.000
5 Mg 0.500 0.000 0.000

=====

Record 4
This record from Alexandria via LeMat-Bulk describes an optimized crystal structure of RbSr2Mg2. The functional is PBE.

Computed properties:
As for the magnetization: 0.00 μB per formula unit. The value obtained for the calculated density is 2.3 g cm⁻³. The total DFT energy (no corrections) is -1.412 eV/atom.

Unit cell a=10.282 b=10.282 c=4.253 alpha=90.00 beta=90.00 gamma=90.00
Atoms (fractional coordinates):
1 Rb 0.000 0.000 0.000
2 Rb 0.500 0.500 0.000
3 Sr 0.164 0.336 0.500
4 Sr 0.336 0.836 0.500
5 Sr 0.664 0.164 0.500
6 Sr 0.836 0.664 0.500
7 Mg 0.119 0.619 0.000
8 Mg 0.381 0.119 0.000
9 Mg 0.619 0.881 0.000
10 Mg 0.881 0.381 0.000

=====

Record 5
This record from Alexandria via LeMat-Bulk describes an optimized crystal structure of RbSr2Mg. The functional is PBE.

Computed properties:
As for the magnetization: 0.00 μB per formula unit. The value obtained for the calculated density is 2.2 g cm⁻³. The total DFT energy (no corrections) is -1.136 eV/atom.

Unit cell a=14.328 b=14.328 c=14.328 alpha=157.46 beta=157.46 gamma=32.08
Atoms (fractional coordinates):
1 Rb 0.000 0.000 0.000
2 Rb 0.750 0.250 0.500
3 Sr 0.141 0.625 0.016
4 Sr 0.375 0.391 0.516
5 Sr 0.609 0.125 0.984
6 Sr 0.875 0.859 0.484
7 Mg 0.250 0.750 0.500
8 Mg 0.500 0.500 0.000

=====

Record 6
This record from Alexandria via LeMat-Bulk describes an optimized crystal structure of RbSr3Mg. The functional is PBE.

Computed properties:
As for the magnetization: 0.00 μB per formula unit. The value obtained for the calculated density is 2.0 g cm⁻³. The total DFT energy (no corrections) is -1.344 eV/atom.

Unit cell a=6.709 b=6.709 c=6.709 alpha=90.00 beta=90.00 gamma=90.00
Atoms (fractional coordinates):
1 Rb 0.000 0.000 0.000
2 Sr 0.000 0.500 0.500
3 Sr 0.500 0.000 0.500
4 Sr 0.500 0.500 0.000
5 Mg 0.500 0.500 0.500

=====

Record 7
This record from Alexandria via LeMat-Bulk describes an optimized crystal structure of RbSrMg3. The functional is PBE.

Computed properties:
As for the magnetization: 0.00 μB per formula unit. The value obtained for the calculated density is 1.4 g cm⁻³. The total DFT energy (no corrections) is -0.893 eV/atom.

Unit cell a=6.596 b=6.596 c=6.596 alpha=90.00 beta=90.00 gamma=90.00
Atoms (fractional coordinates):
1 Rb 0.000 0.000 0.000
2 Sr 0.500 0.500 0.500
3 Mg 0.000 0.500 0.500
4 Mg 0.500 0.000 0.500
5 Mg 0.500 0.500 0.000

=====

Record 8
This record from Alexandria via LeMat-Bulk describes an optimized crystal structure of Rb2SrMg. The functional is PBE.

Computed properties:
As for the magnetization: 0.00 μB per formula unit. The value obtained for the calculated density is 1.8 g cm⁻³. The total DFT energy (no corrections) is -0.995 eV/atom.

Unit cell a=9.030 b=9.030 c=9.030 alpha=100.06 beta=100.06 gamma=130.60
Atoms (fractional coordinates):
1 Rb 0.066 0.125 0.441
2 Rb 0.375 0.934 0.059
3 Rb 0.684 0.625 0.559
4 Rb 0.875 0.316 0.941
5 Sr 0.250 0.750 0.500
6 Sr 0.500 0.500 0.000
7 Mg 0.000 0.000 0.000
8 Mg 0.750 0.250 0.500

=====

Record 9
This record from Alexandria via LeMat-Bulk describes an optimized crystal structure of Rb2SrMg2. The functional is PBE.

Computed properties:
As for the magnetization: 0.00 μB per formula unit. The value obtained for the calculated density is 1.9 g cm⁻³. The total DFT energy (no corrections) is -1.147 eV/atom.

Unit cell a=9.201 b=9.201 c=6.238 alpha=90.00 beta=90.00 gamma=90.00
Atoms (fractional coordinates):
1 Rb 0.173 0.327 0.000
2 Rb 0.327 0.827 0.000
3 Rb 0.673 0.173 0.000
4 Rb 0.827 0.673 0.000
5 Sr 0.000 0.000 0.500
6 Sr 0.500 0.500 0.500
7 Mg 0.121 0.621 0.500
8 Mg 0.379 0.121 0.500
9 Mg 0.621 0.879 0.500
10 Mg 0.879 0.379 0.500

=====

Record 10
This record from Alexandria via LeMat-Bulk describes an optimized crystal structure of Rb3SrMg. The functional is PBE.

Computed properties:
As for the magnetization: 0.00 μB per formula unit. The value obtained for the calculated density is 1.6 g cm⁻³. The total DFT energy (no corrections) is -0.910 eV/atom.

Unit cell a=7.281 b=7.281 c=7.281 alpha=90.00 beta=90.00 gamma=90.00
Atoms (fractional coordinates):
1 Rb 0.000 0.000 0.500
2 Rb 0.000 0.500 0.000
3 Rb 0.500 0.000 0.000
4 Sr 0.500 0.500 0.500
5 Mg 0.000 0.000 0.000

=====

Record 11
This record from Alexandria via LeMat-Bulk describes an optimized crystal structure of RbSrMg4. The functional is PBE.

Computed properties:
As for the magnetization: 0.00 μB per formula unit. The value obtained for the calculated density is 2.2 g cm⁻³. The total DFT energy (no corrections) is -1.424 eV/atom.

Unit cell a=6.591 b=6.591 c=6.591 alpha=60.00 beta=60.00 gamma=60.00
Atoms (fractional coordinates):
1 Rb 0.000 0.000 0.000
2 Sr 0.250 0.250 0.250
3 Mg 0.128 0.624 0.624
4 Mg 0.624 0.128 0.624
5 Mg 0.624 0.624 0.128
6 Mg 0.624 0.624 0.624

=====

Record 12
This record from Alexandria via LeMat-Bulk describes an optimized crystal structure of RbSr2Mg. The functional is PBE.

Computed properties:
As for the magnetization: 0.01 μB per formula unit. The value obtained for the calculated density is 2.2 g cm⁻³. The total DFT energy (no corrections) is -1.348 eV/atom.

Unit cell a=13.455 b=13.455 c=13.455 alpha=18.51 beta=18.51 gamma=18.51
Atoms (fractional coordinates):
1 Rb 0.000 0.000 0.000
2 Sr 0.565 0.565 0.565
3 Sr 0.768 0.768 0.768
4 Mg 0.166 0.166 0.166

=====

Record 13
This record from Alexandria via LeMat-Bulk describes an optimized crystal structure of RbMg2Ta. The functional is PBE.

Computed properties:
As for the magnetization: 1.56 μB per formula unit. The value obtained for the calculated density is 4.8 g cm⁻³. The total DFT energy (no corrections) is -2.829 eV/atom.

Unit cell a=5.352 b=5.352 c=5.352 alpha=60.00 beta=60.00 gamma=60.00
Atoms (fractional coordinates):
1 Rb 0.000 0.000 0.000
2 Mg 0.250 0.250 0.250
3 Mg 0.750 0.750 0.750
4 Ta 0.500 0.500 0.500

=====

Record 14
This record from Alexandria via LeMat-Bulk describes an optimized crystal structure of RbMgTa. The functional is PBE.

Computed properties:
As for the magnetization: 1.97 μB per formula unit. The value obtained for the calculated density is 5.6 g cm⁻³. The total DFT energy (no corrections) is -3.124 eV/atom.

Unit cell a=5.658 b=5.658 c=6.184 alpha=90.00 beta=90.00 gamma=120.00
Atoms (fractional coordinates):
1 Rb 0.000 0.000 0.000
2 Rb 0.000 0.000 0.500
3 Mg 0.333 0.667 0.250
4 Mg 0.667 0.333 0.750
5 Ta 0.333 0.667 0.750
6 Ta 0.667 0.333 0.250

=====

Record 15
This record from Alexandria via LeMat-Bulk describes an optimized crystal structure of RbMgTa. The functional is PBE.

Computed properties:
As for the magnetization: 0.00 μB per formula unit. The value obtained for the calculated density is 4.6 g cm⁻³. The total DFT energy (no corrections) is -4.212 eV/atom.

Unit cell a=3.351 b=4.471 c=14.043 alpha=89.93 beta=86.34 gamma=89.97
Atoms (fractional coordinates):
1 Rb 0.000 0.000 0.000
2 Rb 0.304 0.495 0.673
3 Mg 0.389 0.499 0.407
4 Mg 0.881 0.999 0.436
5 Ta 0.431 0.000 0.251
6 Ta 0.935 0.500 0.236

=====

Record 16
This record from Alexandria via LeMat-Bulk describes an optimized crystal structure of RbMgTa. The functional is PBE.

Computed properties:
As for the magnetization: 0.00 μB per formula unit. The value obtained for the calculated density is 4.3 g cm⁻³. The total DFT energy (no corrections) is -3.760 eV/atom.

Unit cell a=4.371 b=7.401 c=7.780 alpha=75.29 beta=73.76 gamma=72.87
Atoms (fractional coordinates):
1 Rb 0.000 0.000 0.000
2 Rb 0.157 0.426 0.259
3 Mg 0.477 0.376 0.672
4 Mg 0.798 0.628 0.778
5 Ta 0.327 0.826 0.524
6 Ta 0.737 0.989 0.540

=====

Record 17
This record from Alexandria via LeMat-Bulk describes an optimized crystal structure of RbMgTa. The functional is PBE.

Computed properties:
As for the magnetization: 0.00 μB per formula unit. The value obtained for the calculated density is 4.6 g cm⁻³. The total DFT energy (no corrections) is -4.210 eV/atom.

Unit cell a=3.402 b=4.449 c=14.195 alpha=98.99 beta=91.96 gamma=90.02
Atoms (fractional coordinates):
1 Rb 0.000 0.000 0.000
2 Rb 0.399 0.655 0.324
3 Mg 0.441 0.290 0.580
4 Mg 0.941 0.790 0.580
5 Ta 0.466 0.874 0.751
6 Ta 0.967 0.377 0.757

=====

Record 18
This record from Alexandria via LeMat-Bulk describes an optimized crystal structure of RbMgTa. The functional is PBE.

Computed properties:
As for the magnetization: 0.00 μB per formula unit. The value obtained for the calculated density is 4.8 g cm⁻³. The total DFT energy (no corrections) is -3.855 eV/atom.

Unit cell a=14.050 b=5.265 c=5.482 alpha=90.00 beta=90.00 gamma=90.00
Atoms (fractional coordinates):
1 Rb 0.248 0.250 0.014
2 Rb 0.252 0.750 0.514
3 Rb 0.748 0.250 0.486
4 Rb 0.752 0.750 0.986
5 Mg 0.000 0.000 0.000
6 Mg 0.000 0.500 0.000
7 Mg 0.500 0.000 0.500
8 Mg 0.500 0.500 0.500
9 Ta 0.007 0.250 0.500
10 Ta 0.493 0.750 0.000
11 Ta 0.507 0.250 0.000
12 Ta 0.993 0.750 0.500

=====

Record 19
This record from Alexandria via LeMat-Bulk describes an optimized crystal structure of RbMgTa. The functional is PBE.

Computed properties:
As for the magnetization: 0.00 μB per formula unit. The value obtained for the calculated density is 5.1 g cm⁻³. The total DFT energy (no corrections) is -4.059 eV/atom.

Unit cell a=3.140 b=6.759 c=9.792 alpha=70.69 beta=80.88 gamma=76.59
Atoms (fractional coordinates):
1 Rb 0.000 0.000 0.000
2 Rb 0.155 0.374 0.264
3 Mg 0.486 0.378 0.624
4 Mg 0.779 0.607 0.811
5 Ta 0.193 0.971 0.619
6 Ta 0.857 0.788 0.471

=====

Record 20
This record from Alexandria via LeMat-Bulk describes an optimized crystal structure of RbMg2Ta. The functional is PBE.

Computed properties:
As for the magnetization: 3.48 μB per formula unit. The value obtained for the calculated density is 3.9 g cm⁻³. The total DFT energy (no corrections) is -2.657 eV/atom.

Unit cell a=7.108 b=7.108 c=7.108 alpha=103.87 beta=103.87 gamma=121.37
Atoms (fractional coordinates):
1 Rb 0.000 0.000 0.000
2 Rb 0.750 0.250 0.500
3 Mg 0.182 0.625 0.057
4 Mg 0.375 0.432 0.557
5 Mg 0.568 0.125 0.943
6 Mg 0.875 0.818 0.443
7 Ta 0.250 0.750 0.500
8 Ta 0.500 0.500 0.000

=====

Record 21
This record from Alexandria via LeMat-Bulk describes an optimized crystal structure of RbMgTa2. The functional is PBE.

Computed properties:
As for the magnetization: 0.00 μB per formula unit. The value obtained for the calculated density is 6.8 g cm⁻³. The total DFT energy (no corrections) is -4.948 eV/atom.

Unit cell a=11.689 b=11.689 c=11.689 alpha=157.68 beta=157.68 gamma=31.77
Atoms (fractional coordinates):
1 Rb 0.000 0.000 0.000
2 Rb 0.750 0.250 0.500
3 Mg 0.250 0.750 0.500
4 Mg 0.500 0.500 0.000
5 Ta 0.250 0.125 0.625
6 Ta 0.375 0.750 0.875
7 Ta 0.500 0.625 0.375
8 Ta 0.875 0.500 0.125

=====

Record 22
This record from Alexandria via LeMat-Bulk describes an optimized crystal structure of RbMgTa. The functional is PBE.

Computed properties:
As for the magnetization: 4.97 μB per formula unit. The value obtained for the calculated density is 2.5 g cm⁻³. The total DFT energy (no corrections) is -2.495 eV/atom.

Unit cell a=6.261 b=6.261 c=11.421 alpha=90.00 beta=90.00 gamma=120.00
Atoms (fractional coordinates):
1 Rb 0.333 0.667 0.250
2 Rb 0.667 0.333 0.750
3 Mg 0.000 0.000 0.250
4 Mg 0.000 0.000 0.750
5 Ta 0.000 0.000 0.000
6 Ta 0.000 0.000 0.500

=====

Record 23
This record from Alexandria via LeMat-Bulk describes an optimized crystal structure of RbMgTa. The functional is PBE.

Computed properties:
As for the magnetization: 0.00 μB per formula unit. The value obtained for the calculated density is 4.3 g cm⁻³. The total DFT energy (no corrections) is -3.501 eV/atom.

Unit cell a=5.642 b=5.642 c=8.196 alpha=90.00 beta=90.00 gamma=120.00
Atoms (fractional coordinates):
1 Rb 0.000 0.000 0.000
2 Rb 0.000 0.000 0.500
3 Mg 0.667 0.333 0.179
4 Mg 0.667 0.333 0.821
5 Ta 0.333 0.667 0.141
6 Ta 0.333 0.667 0.859

=====

Record 24
This record from Alexandria via LeMat-Bulk describes an optimized crystal structure of RbMgTa. The functional is PBE.

Computed properties:
As for the magnetization: 0.03 μB per formula unit. The value obtained for the calculated density is 4.9 g cm⁻³. The total DFT energy (no corrections) is -4.285 eV/atom.

Unit cell a=3.574 b=3.578 c=15.368 alpha=89.95 beta=89.80 gamma=89.99
Atoms (fractional coordinates):
1 Rb 0.000 0.000 0.000
2 Rb 0.490 0.492 0.703
3 Mg 0.499 0.495 0.205
4 Mg 0.997 0.994 0.323
5 Ta 0.495 0.494 0.437
6 Ta 0.994 0.994 0.510

=====

Record 25
This record from Alexandria via LeMat-Bulk describes an optimized crystal structure of RbMgTa. The functional is PBE.

Computed properties:
As for the magnetization: 0.00 μB per formula unit. The value obtained for the calculated density is 4.4 g cm⁻³. The total DFT energy (no corrections) is -4.188 eV/atom.

Unit cell a=3.300 b=4.975 c=13.263 alpha=90.07 beta=91.48 gamma=90.00
Atoms (fractional coordinates):
1 Rb 0.000 0.000 0.000
2 Rb 0.420 0.497 0.333
3 Mg 0.472 0.499 0.782
4 Mg 0.952 0.498 0.592
5 Ta 0.450 0.998 0.574
6 Ta 0.966 0.999 0.728

=====

Record 26
This record from Alexandria via LeMat-Bulk describes an optimized crystal structure of RbMgTa. The functional is PBE.

Computed properties:
As for the magnetization: 1.03 μB per formula unit. The value obtained for the calculated density is 5.8 g cm⁻³. The total DFT energy (no corrections) is -3.392 eV/atom.

Unit cell a=5.777 b=5.777 c=2.884 alpha=90.00 beta=90.00 gamma=120.00
Atoms (fractional coordinates):
1 Rb 0.000 0.000 0.000
2 Mg 0.333 0.667 0.500
3 Ta 0.667 0.333 0.500